[1]
Material: BeNiTe2
Method: DFT, PBE
State: optimized geometry

* formation energy (no corrections): -13 kJ per mole of atoms
* density of states at the Fermi level: 2.64 states/eV/f.u.

a = 5.704 Å, b = 5.704 Å, c = 6.955 Å
α = 65.79°, β = 65.79°, γ = 90.00°
Atoms (fractional coordinates):
Ni: 0.750 0.250 0.500
Ni: 0.000 0.000 0.000
Be: 0.500 0.500 0.000
Be: 0.250 0.750 0.500
Te: 0.875 0.868 0.750
Te: 0.132 0.625 0.250
Te: 0.375 0.382 0.750
Te: 0.618 0.125 0.250

[2]
Material: TiBeNiTe2
Method: DFT, PBE
State: optimized geometry

* formation energy (no corrections): 80 kJ per mole of atoms
* density of states at the Fermi level: 5.01 states/eV/f.u.

a = 5.254 Å, b = 4.491 Å, c = 5.254 Å
α = 90.00°, β = 90.00°, γ = 90.00°
Atoms (fractional coordinates):
Ti: 0.000 0.000 0.000
Te: 0.000 0.000 0.500
Te: 0.500 0.000 0.000
Be: 0.500 0.500 0.500
Ni: 0.000 0.500 0.000

[3]
Material: TiBe2NiTe
Method: DFT, PBE
State: optimized geometry

* formation energy (no corrections): 42 kJ per mole of atoms
* density of states at the Fermi level: 5.59 states/eV/f.u.

a = 4.015 Å, b = 5.024 Å, c = 4.015 Å
α = 90.00°, β = 90.00°, γ = 90.00°
Atoms (fractional coordinates):
Ni: 0.000 0.000 0.000
Be: 0.000 0.000 0.500
Be: 0.500 0.000 0.000
Ti: 0.500 0.500 0.500
Te: 0.000 0.500 0.000

[4]
Material: ThBeNi
Method: DFT, PBE
State: optimized geometry

* formation enthalpy at 0 K: -0.249 eV per atom
* polymorph energy (0 for the lowest one): 0.000 eV/atom
* density of states at the Fermi level: 2.88 states/eV/f.u.

a = 3.694 Å, b = 4.084 Å, c = 4.084 Å
α = 120.00°, β = 90.00°, γ = 90.00°
Atoms (fractional coordinates):
Ni: 0.167 0.000 0.000
Th: 0.667 0.333 0.667
Be: 0.167 0.667 0.333

[5]
Material: ThBeNi
Method: DFT, PBE
State: optimized geometry

* formation enthalpy at 0 K: 0.061 eV per atom
* polymorph energy (0 for the lowest one): 0.310 eV/atom
* density of states at the Fermi level: 2.26 states/eV/f.u.

a = 6.346 Å, b = 6.346 Å, c = 5.685 Å
α = 90.00°, β = 90.00°, γ = 90.00°
Atoms (fractional coordinates):
Th: 0.773 0.773 0.000
Th: 0.273 0.727 0.750
Th: 0.727 0.273 0.250
Th: 0.227 0.227 0.500
Be: 0.384 0.616 0.250
Be: 0.116 0.116 0.000
Be: 0.884 0.884 0.500
Be: 0.616 0.384 0.750
Ni: 0.142 0.858 0.250
Ni: 0.642 0.642 0.500
Ni: 0.358 0.358 0.000
Ni: 0.858 0.142 0.750

[6]
Material: ThBeNi4
Method: DFT, PBE
State: optimized geometry

* formation enthalpy at 0 K: -0.254 eV per atom
* density of states at the Fermi level: 3.53 states/eV/f.u.

a = 4.916 Å, b = 4.916 Å, c = 4.916 Å
α = 60.00°, β = 60.00°, γ = 60.00°
Atoms (fractional coordinates):
Th: 0.250 0.250 0.250
Ni: 0.627 0.627 0.119
Ni: 0.119 0.627 0.627
Ni: 0.627 0.627 0.627
Ni: 0.627 0.119 0.627
Be: 0.000 0.000 0.000

[7]
Material: Th2BeNi3
Method: DFT, PBE
State: optimized geometry

* formation enthalpy at 0 K: -0.392 eV per atom
* density of states at the Fermi level: 4.26 states/eV/f.u.

a = 5.533 Å, b = 5.533 Å, c = 7.987 Å
α = 108.26°, β = 108.26°, γ = 95.48°
Atoms (fractional coordinates):
Th: 0.250 0.750 0.500
Th: 0.753 0.753 0.000
Th: 0.750 0.250 0.500
Th: 0.247 0.247 0.000
Ni: 0.825 0.825 0.650
Ni: 0.645 0.179 0.825
Ni: 0.179 0.645 0.825
Ni: 0.175 0.175 0.350
Ni: 0.355 0.821 0.175
Ni: 0.821 0.355 0.175
Be: 0.333 0.333 0.667
Be: 0.667 0.667 0.333

[8]
Material: Th2BeZnNi6
Method: DFT, PBE
State: optimized geometry

* formation enthalpy at 0 K: -0.145 eV per atom
* density of states at the Fermi level: 11.22 states/eV/f.u.

a = 6.070 Å, b = 6.070 Å, c = 6.070 Å
α = 60.00°, β = 60.00°, γ = 90.00°
Atoms (fractional coordinates):
Ni: 0.268 0.268 0.000
Ni: 0.268 0.268 0.465
Ni: 0.732 0.268 0.000
Ni: 0.732 0.732 0.535
Ni: 0.732 0.732 0.000
Ni: 0.268 0.732 0.000
Th: 0.250 0.750 0.500
Th: 0.750 0.250 0.500
Zn: 0.000 0.000 0.000
Be: 0.500 0.500 0.000

[9]
Material: TiBe2Ni2
Method: DFT, PBE
State: optimized geometry

* formation enthalpy at 0 K: -0.193 eV per atom
* polymorph energy (0 for the lowest one): 0.169 eV/atom
* density of states at the Fermi level: 2.94 states/eV/f.u.

a = 3.164 Å, b = 3.164 Å, c = 6.068 Å
α = 74.89°, β = 74.89°, γ = 90.00°
Atoms (fractional coordinates):
Ni: 0.607 0.607 0.785
Ni: 0.393 0.393 0.215
Be: 0.250 0.750 0.500
Be: 0.750 0.250 0.500
Ti: 0.000 0.000 0.000

[10]
Material: TiBeNi3
Method: DFT, PBE
State: optimized geometry

* formation enthalpy at 0 K: 0.014 eV per atom
* polymorph energy (0 for the lowest one): 0.254 eV/atom
* density of states at the Fermi level: 9.66 states/eV/f.u.

a = 3.902 Å, b = 3.902 Å, c = 3.902 Å
α = 90.00°, β = 90.00°, γ = 90.00°
Atoms (fractional coordinates):
Ni: 0.000 0.000 0.500
Ni: 0.500 0.000 0.000
Ni: 0.000 0.500 0.000
Be: 0.000 0.000 0.000
Ti: 0.500 0.500 0.500

[11]
Material: TiBe4Ni5
Method: DFT, PBE
State: optimized geometry

* formation enthalpy at 0 K: -0.450 eV per atom
* density of states at the Fermi level: 5.02 states/eV/f.u.

a = 2.621 Å, b = 2.621 Å, c = 14.196 Å
α = 90.00°, β = 90.00°, γ = 90.00°
Atoms (fractional coordinates):
Ti: 0.000 0.000 0.000
Ni: 0.500 0.500 0.867
Ni: 0.500 0.500 0.133
Ni: 0.500 0.500 0.500
Ni: 0.500 0.500 0.683
Ni: 0.500 0.500 0.317
Be: 0.000 0.000 0.408
Be: 0.000 0.000 0.592
Be: 0.000 0.000 0.776
Be: 0.000 0.000 0.224

[12]
Material: Ti4BeNi
Method: DFT, PBE
State: optimized geometry

* formation enthalpy at 0 K: -0.149 eV per atom
* polymorph energy (0 for the lowest one): 0.000 eV/atom
* density of states at the Fermi level: 9.05 states/eV/f.u.

a = 4.937 Å, b = 4.937 Å, c = 4.937 Å
α = 102.23°, β = 102.23°, γ = 125.18°
Atoms (fractional coordinates):
Ti: 0.906 0.406 0.813
Ti: 0.406 0.594 0.500
Ti: 0.094 0.906 0.500
Ti: 0.594 0.094 0.187
Be: 0.000 0.000 0.000
Ni: 0.500 0.500 0.000

[13]
Material: Ti2Be15Ni2
Method: DFT, PBE
State: optimized geometry

* formation enthalpy at 0 K: -0.260 eV per atom
* density of states at the Fermi level: 6.88 states/eV/f.u.

a = 5.610 Å, b = 5.610 Å, c = 5.610 Å
α = 82.94°, β = 82.94°, γ = 82.94°
Atoms (fractional coordinates):
Be: 0.159 0.654 0.654
Be: 0.000 0.290 0.710
Be: 0.841 0.346 0.346
Be: 0.500 0.000 0.000
Be: 0.000 0.000 0.500
Be: 0.346 0.841 0.346
Be: 0.654 0.159 0.654
Be: 0.290 0.000 0.710
Be: 0.710 0.000 0.290
Be: 0.000 0.710 0.290
Be: 0.000 0.500 0.000
Be: 0.346 0.346 0.841
Be: 0.710 0.290 0.000
Be: 0.290 0.710 0.000
Be: 0.654 0.654 0.159
Ti: 0.657 0.657 0.657
Ti: 0.343 0.343 0.343
Ni: 0.893 0.893 0.893
Ni: 0.107 0.107 0.107

[14]
Material: Ti4BeNi
Method: DFT, PBE
State: optimized geometry

* formation enthalpy at 0 K: 0.153 eV per atom
* polymorph energy (0 for the lowest one): 0.302 eV/atom
* density of states at the Fermi level: 8.88 states/eV/f.u.

a = 4.406 Å, b = 5.164 Å, c = 8.904 Å
α = 90.00°, β = 104.32°, γ = 90.00°
Atoms (fractional coordinates):
Be: 0.159 0.307 0.318
Be: 0.841 0.807 0.682
Ti: 0.123 0.787 0.246
Ti: 0.298 0.563 0.595
Ti: 0.702 0.063 0.405
Ti: 0.711 0.548 0.422
Ti: 0.289 0.048 0.578
Ti: 0.438 0.864 0.875
Ti: 0.877 0.287 0.754
Ti: 0.562 0.364 0.125
Ni: 0.425 0.364 0.850
Ni: 0.575 0.864 0.150

[15]
Material: TiBeNi3
Method: DFT, PBE
State: optimized geometry

* formation enthalpy at 0 K: -0.240 eV per atom
* polymorph energy (0 for the lowest one): 0.000 eV/atom
* density of states at the Fermi level: 3.77 states/eV/f.u.

a = 4.439 Å, b = 5.457 Å, c = 5.457 Å
α = 120.00°, β = 90.00°, γ = 90.00°
Atoms (fractional coordinates):
Ni: 0.750 0.187 0.813
Ni: 0.750 0.188 0.375
Ni: 0.250 0.812 0.625
Ni: 0.250 0.813 0.187
Ni: 0.250 0.375 0.188
Ni: 0.750 0.625 0.812
Ti: 0.750 0.666 0.334
Ti: 0.250 0.334 0.666
Be: 0.000 0.000 0.000
Be: 0.500 0.000 0.000

[16]
Material: Ti2BeNi
Method: DFT, PBE
State: optimized geometry

* formation enthalpy at 0 K: 0.169 eV per atom
* density of states at the Fermi level: 3.82 states/eV/f.u.

a = 6.779 Å, b = 6.779 Å, c = 5.358 Å
α = 50.76°, β = 50.76°, γ = 90.00°
Atoms (fractional coordinates):
Be: 0.250 0.750 0.500
Be: 0.500 0.500 0.000
Ni: 0.000 0.000 0.000
Ni: 0.750 0.250 0.500
Ti: 0.875 0.887 0.750
Ti: 0.113 0.625 0.250
Ti: 0.375 0.363 0.750
Ti: 0.637 0.125 0.250

[17]
Material: TiBeNi2
Method: DFT, PBE
State: optimized geometry

* formation enthalpy at 0 K: 0.137 eV per atom
* density of states at the Fermi level: 4.37 states/eV/f.u.

a = 5.163 Å, b = 5.163 Å, c = 5.163 Å
α = 56.80°, β = 152.09°, γ = 131.60°
Atoms (fractional coordinates):
Be: 0.000 0.000 0.000
Ti: 0.000 0.500 0.500
Ni: 0.000 0.781 0.781
Ni: 0.000 0.219 0.219

[18]
Material: TiBe2Ni2
Method: DFT, PBE
State: optimized geometry

* formation enthalpy at 0 K: -0.362 eV per atom
* polymorph energy (0 for the lowest one): 0.000 eV/atom
* density of states at the Fermi level: 5.08 states/eV/f.u.

a = 6.509 Å, b = 6.509 Å, c = 2.495 Å
α = 90.00°, β = 90.00°, γ = 90.00°
Atoms (fractional coordinates):
Ti: 0.500 0.500 0.000
Ti: 0.000 0.000 0.000
Ni: 0.825 0.325 0.500
Ni: 0.175 0.675 0.500
Ni: 0.325 0.175 0.500
Ni: 0.675 0.825 0.500
Be: 0.618 0.118 0.000
Be: 0.118 0.382 0.000
Be: 0.882 0.618 0.000
Be: 0.382 0.882 0.000

[19]
Material: TiBeNi
Method: DFT, PBE
State: optimized geometry

* formation enthalpy at 0 K: -0.357 eV per atom
* polymorph energy (0 for the lowest one): 0.000 eV/atom
* density of states at the Fermi level: 3.01 states/eV/f.u.

a = 4.610 Å, b = 4.599 Å, c = 4.599 Å
α = 62.13°, β = 59.92°, γ = 59.92°
Atoms (fractional coordinates):
Be: 0.000 0.000 0.000
Be: 0.500 0.000 0.000
Ni: 0.500 0.500 0.000
Ni: 0.500 0.000 0.500
Ti: 0.127 0.623 0.623
Ti: 0.873 0.377 0.377

[20]
Material: TiBe2Ni2
Method: DFT, PBE
State: optimized geometry

* formation enthalpy at 0 K: -0.287 eV per atom
* polymorph energy (0 for the lowest one): 0.075 eV/atom
* density of states at the Fermi level: 4.15 states/eV/f.u.

a = 6.598 Å, b = 6.598 Å, c = 2.455 Å
α = 90.00°, β = 90.00°, γ = 90.00°
Atoms (fractional coordinates):
Ti: 0.500 0.500 0.000
Ti: 0.000 0.000 0.000
Ni: 0.865 0.635 0.000
Ni: 0.365 0.865 0.000
Ni: 0.635 0.135 0.000
Ni: 0.135 0.365 0.000
Be: 0.340 0.160 0.500
Be: 0.160 0.660 0.500
Be: 0.660 0.840 0.500
Be: 0.840 0.340 0.500

[21]
Material: TiBeNi14
Method: DFT, PBE
State: optimized geometry

* formation enthalpy at 0 K: -0.125 eV per atom
* density of states at the Fermi level: 24.30 states/eV/f.u.

a = 4.986 Å, b = 4.986 Å, c = 7.044 Å
α = 90.00°, β = 90.00°, γ = 90.00°
Each line ends with the local moment (μB).
Atoms (fractional coordinates):
Ti: 0.875 0.875 0.500  -0.17
Ni: 0.875 0.375 0.500  0.36
Ni: 0.129 0.621 0.250  0.48
Ni: 0.621 0.129 0.750  0.48
Ni: 0.621 0.129 0.250  0.48
Ni: 0.621 0.621 0.750  0.48
Ni: 0.875 0.375 0.000  0.56
Ni: 0.875 0.875 0.000  0.77
Ni: 0.375 0.875 0.500  0.36
Ni: 0.129 0.621 0.750  0.48
Ni: 0.129 0.129 0.250  0.48
Ni: 0.621 0.621 0.250  0.48
Ni: 0.129 0.129 0.750  0.48
Ni: 0.375 0.375 0.000  0.60
Ni: 0.375 0.875 0.000  0.56
Be: 0.375 0.375 0.500  -0.02

[22]
Material: Ti3Be9Ni2
Method: DFT, PBE
State: optimized geometry

* formation enthalpy at 0 K: -0.270 eV per atom
* density of states at the Fermi level: 6.37 states/eV/f.u.

a = 3.618 Å, b = 6.793 Å, c = 6.793 Å
α = 65.20°, β = 74.56°, γ = 74.56°
Atoms (fractional coordinates):
Be: 0.867 0.413 0.852
Be: 0.133 0.148 0.587
Be: 0.133 0.587 0.148
Be: 0.335 0.022 0.308
Be: 0.665 0.692 0.978
Be: 0.867 0.852 0.413
Be: 0.665 0.978 0.692
Be: 0.335 0.308 0.022
Be: 0.000 0.500 0.500
Ti: 0.295 0.705 0.705
Ti: 0.000 0.000 0.000
Ti: 0.705 0.295 0.295
Ni: 0.500 0.686 0.314
Ni: 0.500 0.314 0.686

[23]
Material: Ti2BeNi
Method: DFT, PBE
State: optimized geometry

* formation enthalpy at 0 K: -0.237 eV per atom
* density of states at the Fermi level: 3.43 states/eV/f.u.

a = 3.926 Å, b = 5.094 Å, c = 5.356 Å
α = 90.01°, β = 89.97°, γ = 90.00°
Atoms (fractional coordinates):
Ti: 0.438 0.355 0.158
Ti: 0.937 0.620 0.845
Ti: 0.438 0.145 0.658
Ti: 0.937 0.880 0.345
Ni: 0.938 0.391 0.446
Ni: 0.938 0.109 0.946
Be: 0.437 0.639 0.551
Be: 0.437 0.860 0.051